The following is a DFT calculation (GGA-PBE) of crystalline MoAuCl at its relaxed geometry.

Structure (CIF):
```
data_MoAuCl
_chemical_formula_sum 'Mo1 Au1 Cl1'
_cell_length_a 3.0362
_cell_length_b 3.0362
_cell_length_c 7.2399
_cell_angle_alpha 90.00
_cell_angle_beta 90.00
_cell_angle_gamma 120.00
_symmetry_space_group_name_H-M 'P 3 m 1'
_symmetry_Int_Tables_number 156
_symmetry_space_group_name_Hall 'P 3 -2"'
loop_
_atom_site_label
_atom_site_type_symbol
_atom_site_fract_x
_atom_site_fract_y
_atom_site_fract_z
_atom_site_occupancy
Mo1 Mo 0.0000 0.0000 0.0000 1
Au1 Au 0.6667 0.3333 0.3077 1
Cl1 Cl 0.3333 0.6667 0.7664 1
```

**Crystal system**: trigonal
**Raw formation energy**: 71 meV per atom
**Excess energy over the best structure of this formula in the dataset**: 0.000 eV per atom
**Total magnetization**: 0.0000 μB per atom